[1]
Entry from Alexandria: an optimized crystal structure of Cs2CuPbI6 (GGA-PBE).

Properties
Symmetry: P4/mmm
Total magnetic moment, μB per formula unit: 0.00
Uncorrected energy, eV for the cell shown: -26.663

a b c (Å): 6.207 6.207 11.622
angles (deg): 90.00 90.00 90.00
Positions (direct):
I  0.500  0.500  0.275
I  0.500  0.500  0.725
I  0.000  0.500  0.500
I  0.500  0.000  0.000
I  0.000  0.500  0.000
I  0.500  0.000  0.500
Cs  0.000  0.000  0.727
Cs  0.000  0.000  0.273
Cu  0.500  0.500  0.500
Pb  0.500  0.500  0.000



[2]
Entry from Alexandria: an optimized crystal structure of Cs2CuPbI6 (GGA-PBE).

Properties
Symmetry: I4/mmm
Total magnetic moment, μB per formula unit: 0.00
Uncorrected energy, eV for the cell shown: -26.870

a b c (Å): 8.464 8.464 8.472
angles (deg): 60.03 60.03 90.00
Positions (direct):
Pb  0.000  0.000  0.000
I  0.264  0.736  0.000
I  0.736  0.264  0.000
I  0.737  0.737  0.526
I  0.264  0.264  0.000
I  0.736  0.736  0.000
I  0.263  0.263  0.474
Cs  0.750  0.250  0.500
Cs  0.250  0.750  0.500
Cu  0.500  0.500  0.000



Number 1: uncorrected formation energy -0.79 eV per atom. Number 2: uncorrected formation energy -0.81 eV per atom.